Computed, not measured: a geometry-optimized K2RbBe structure at the PBE level of DFT.

E_form = 0.72 eV/atom
E = -8.0 eV for the cell shown
volume = 431.0 Å³/cell
size of the total moment = 0.00 μB/cell
crystal system = tetragonal
N(E_F) = 7.47 states/eV per cell

a b c (Å): 5.669 5.669 13.995
angles (deg): 78.31 78.31 90.00
Fractional coordinates of all 8 atoms:
Be 0.500 0.500 0.000
Be 0.250 0.750 0.500
K 0.589 0.125 0.250
K 0.161 0.625 0.250
K 0.375 0.411 0.750
K 0.875 0.839 0.750
Rb 0.000 0.000 0.000
Rb 0.750 0.250 0.500

Computed, not measured: a geometry-optimized Ce2InSiRh6 structure at the PBE level of DFT.

E = -69.5 eV for the cell shown
volume = 211.5 Å³/cell
size of the total moment = 0.00 μB/cell
crystal system = monoclinic
formation energy from raw total energies = -516 kJ/mol of formula units
N(E_F) = 3.95 states/eV per cell

a b c (Å): 5.548 8.559 5.540
angles (deg): 71.29 59.99 90.05
Fractional coordinates of all 10 atoms:
Ce 0.789 0.367 0.422
Ce 0.211 0.633 0.578
In 0.000 0.000 0.000
Si 0.500 0.500 0.000
Rh 0.258 0.284 0.482
Rh 0.741 0.715 0.028
Rh 0.232 0.716 0.028
Rh 0.768 0.284 0.972
Rh 0.259 0.285 0.972
Rh 0.742 0.716 0.518

Computed, not measured: a geometry-optimized Hg2IrPt structure at the PBE level of DFT.

E_form = 0.58 eV/atom
E = -26.4 eV for the cell shown
volume = 156.8 Å³/cell
size of the total moment = 0.00 μB/cell
crystal system = tetragonal
E above lowest polymorph = 261 meV/atom
N(E_F) = 7.19 states/eV per cell

a b c (Å): 4.005 4.005 10.177
angles (deg): 78.65 78.65 90.00
Fractional coordinates of all 8 atoms:
Ir 0.500 0.500 0.000
Ir 0.250 0.750 0.500
Hg 0.621 0.125 0.250
Hg 0.129 0.625 0.250
Hg 0.375 0.379 0.750
Hg 0.875 0.871 0.750
Pt 0.000 0.000 0.000
Pt 0.750 0.250 0.500